Below is crystalline LiErGa2Ir4 at its relaxed geometry, with properties calculated at the PBE level.

Lattice parameters (Å, degrees): 4.3825 4.3825 6.2436 90.00 90.00 90.00
Closest atoms and distances in Å follow each position.
Atoms (fractional coordinates):
1 Ir 0.5000 0.0000 0.7283  2 Li 2.61, 4 Ga 2.61-2.77, 2 Er 2.77, 1 Ir 2.85
2 Ir 0.5000 0.0000 0.2717  2 Li 2.61, 4 Ga 2.61-2.77, 2 Er 2.77, 1 Ir 2.85
3 Ir 0.0000 0.5000 0.7283  2 Li 2.61, 4 Ga 2.61-2.77, 2 Er 2.77, 1 Ir 2.85
4 Ir 0.0000 0.5000 0.2717  2 Li 2.61, 4 Ga 2.61-2.77, 2 Er 2.77, 1 Ir 2.85
5 Ga 0.0000 0.0000 0.5000  8 Ir 2.61
6 Ga 0.5000 0.5000 0.0000  8 Ir 2.77, 4 Er 3.10
7 Li 0.5000 0.5000 0.5000  8 Ir 2.61
8 Er 0.0000 0.0000 0.0000  8 Ir 2.77, 4 Ga 3.10

* calculated volume: 119.9 Å³/f.u.
* SG: P4/mmm, No. 123
* final energy: -6.46 eV/atom

=====

Below is crystalline LuMgIn at its relaxed geometry, with properties calculated at the PBE level.

Lattice parameters (Å, degrees): 7.4026 7.4026 4.6302 90.00 90.00 120.00
Closest atoms and distances in Å follow each position.
Atoms (fractional coordinates):
1 Lu 0.5628 0.5628 0.0000  5 In 3.18-3.24, 2 Mg 3.32
2 Lu 0.0000 0.4372 0.0000  5 In 3.18-3.24, 2 Mg 3.32
3 Lu 0.4372 0.0000 0.0000  5 In 3.18-3.24, 2 Mg 3.32
4 In 0.3333 0.6667 0.5000  3 Mg 2.87, 6 Lu 3.18
5 In 0.0000 0.0000 0.0000  6 Mg 2.93, 3 Lu 3.24
6 In 0.6667 0.3333 0.5000  3 Mg 2.87, 6 Lu 3.18
7 Mg 0.7584 0.0000 0.5000  4 In 2.87-2.93, 2 Mg 3.10
8 Mg 0.2416 0.2416 0.5000  4 In 2.87-2.93, 2 Mg 3.10
9 Mg 0.0000 0.7584 0.5000  4 In 2.87-2.93, 2 Mg 3.10

* calculated volume: 73.2 Å³/f.u.
* SG: P-62m, No. 189
* final energy: -3.27 eV/atom

=====

Below is crystalline SmTlZn at its relaxed geometry, with properties calculated at the PBE level.

Lattice parameters (Å, degrees): 7.5068 4.7391 8.1593 90.00 90.00 90.00
Closest atoms and distances in Å follow each position.
Atoms (fractional coordinates):
1 Tl 0.7223 0.7500 0.0871  3 Zn 2.75-2.76
2 Tl 0.2777 0.2500 0.9129  3 Zn 2.75-2.76
3 Tl 0.7777 0.2500 0.5871  3 Zn 2.75-2.76
4 Tl 0.2223 0.7500 0.4129  3 Zn 2.75-2.76
5 Sm 0.0015 0.7500 0.7750  6 Zn 3.19-3.49, 6 Tl 3.28-3.39
6 Sm 0.4985 0.2500 0.2750  6 Zn 3.19-3.49, 6 Tl 3.28-3.39
7 Sm 0.9985 0.2500 0.2250  6 Zn 3.19-3.49, 6 Tl 3.28-3.39
8 Sm 0.5015 0.7500 0.7250  6 Zn 3.19-3.49, 6 Tl 3.28-3.39
9 Zn 0.3039 0.7500 0.0831  3 Tl 2.75-2.76
10 Zn 0.6961 0.2500 0.9169  3 Tl 2.75-2.76
11 Zn 0.1961 0.2500 0.5831  3 Tl 2.75-2.76
12 Zn 0.8039 0.7500 0.4169  3 Tl 2.75-2.76

* calculated volume: 72.6 Å³/f.u.
* SG: Pnma, No. 62
* final energy: -3.12 eV/atom

=====

Below is crystalline TmScRe at its relaxed geometry, with properties calculated at the PBE level.

Lattice parameters (Å, degrees): 4.6125 4.6125 4.6125 60.00 60.00 60.00
Closest atoms and distances in Å follow each position.
Atoms (fractional coordinates):
1 Tm 0.0000 0.0000 0.0000  4 Re 2.82, 4 Sc 2.82
2 Sc 0.7500 0.7500 0.7500  4 Tm 2.82
3 Re 0.2500 0.2500 0.2500  4 Tm 2.82

* calculated volume: 69.4 Å³/f.u.
* SG: F-43m, No. 216
* energy of formation: 1.13 eV/atom
* energy relative to the lowest polymorph listed for this composition: 195 meV per atom
* final energy: -6.61 eV/atom

=====

Below is crystalline CsTcAgSe3 at its relaxed geometry, with properties calculated at the PBE level.

Lattice parameters (Å, degrees): 9.2492 4.7203 16.1659 90.00 90.00 90.00
Closest atoms and distances in Å follow each position.
Atoms (fractional coordinates):
1 Se 0.7499 0.7500 0.6609  1 Tc 2.37
2 Se 0.1010 0.2500 0.0140  3 Tc 2.47-2.51
3 Se 0.1396 0.2500 0.5813  1 Tc 2.46, 3 Ag 2.74
4 Se 0.2499 0.7500 0.8391  1 Tc 2.37
5 Se 0.6010 0.2500 0.4860  3 Tc 2.47-2.51
6 Se 0.3604 0.7500 0.0813  1 Tc 2.46, 3 Ag 2.74
7 Se 0.8990 0.7500 0.9860  3 Tc 2.47-2.51
8 Se 0.3990 0.7500 0.5140  3 Tc 2.47-2.51
9 Se 0.7501 0.2500 0.1609  1 Tc 2.37
10 Se 0.6396 0.2500 0.9187  1 Tc 2.46, 3 Ag 2.74
11 Se 0.8604 0.7500 0.4187  1 Tc 2.46, 3 Ag 2.74
12 Se 0.2501 0.2500 0.3391  1 Tc 2.37
13 Cs 0.0321 0.7500 0.2148  7 Se 3.62-3.90, 1 Tc 4.03
14 Cs 0.4679 0.2500 0.7148  7 Se 3.62-3.90, 1 Tc 4.03
15 Cs 0.5321 0.7500 0.2852  7 Se 3.62-3.90, 1 Tc 4.03
16 Cs 0.9679 0.2500 0.7852  7 Se 3.62-3.90, 1 Tc 4.03
17 Ag 0.0092 0.2500 0.4292  4 Se 2.66-2.74
18 Ag 0.4908 0.7500 0.9292  4 Se 2.66-2.74
19 Ag 0.9908 0.7500 0.5708  4 Se 2.66-2.74
20 Ag 0.5092 0.2500 0.0708  4 Se 2.66-2.74
21 Tc 0.8339 0.2500 0.0223  5 Se 2.37-2.51
22 Tc 0.6661 0.7500 0.5223  5 Se 2.37-2.51
23 Tc 0.1661 0.7500 0.9777  5 Se 2.37-2.51
24 Tc 0.3339 0.2500 0.4777  5 Se 2.37-2.51

* calculated volume: 176.4 Å³/f.u.
* SG: Pnma, No. 62
* energy relative to the lowest polymorph listed for this composition: 5 meV per atom
* final energy: -4.49 eV/atom

=====

Below is crystalline RbHoCdTe3 at its relaxed geometry, with properties calculated at the PBE level.

Lattice parameters (Å, degrees): 9.4123 4.5105 11.2596 90.00 109.83 90.00
Closest atoms and distances in Å follow each position.
Atoms (fractional coordinates):
1 Rb 0.2430 0.2500 0.2734  6 Te 3.64-3.93
2 Rb 0.7570 0.7500 0.7266  6 Te 3.64-3.93
3 Te 0.2408 0.7500 0.5581  3 Cd 2.90-2.98
4 Te 0.5382 0.2500 0.8510  3 Ho 3.01-3.09
5 Te 0.4619 0.7500 0.1490  3 Ho 3.01-3.09
6 Te 0.9088 0.7500 0.1358  1 Cd 2.80, 2 Ho 3.12
7 Te 0.0912 0.2500 0.8642  1 Cd 2.80, 2 Ho 3.12
8 Te 0.7592 0.2500 0.4419  3 Cd 2.90-2.98
9 Ho 0.3208 0.7500 0.8659  6 Te 3.01-3.29
10 Ho 0.6792 0.2500 0.1341  6 Te 3.01-3.29
11 Cd 0.9204 0.7500 0.3877  4 Te 2.80-2.98
12 Cd 0.0796 0.2500 0.6123  4 Te 2.80-2.98

* calculated volume: 224.8 Å³/f.u.
* SG: P2_1/m, No. 11
* final energy: -3.70 eV/atom

=====

Below is crystalline DyHoIn3Si2 at its relaxed geometry, with properties calculated at the PBE level.

Lattice parameters (Å, degrees): 5.7267 5.7267 6.9834 99.16 99.16 43.79
Closest atoms and distances in Å follow each position.
Atoms (fractional coordinates):
1 Ho 0.3790 0.3790 0.1678  5 Si 2.97-3.18, 4 In 3.25-3.29
2 In 0.9998 0.9998 0.4996  2 Si 3.00-3.01, 6 In 3.22-3.28, 2 Ho 3.25, 2 Dy 3.25
3 In 0.3046 0.3046 0.6502  2 Si 2.79, 2 In 3.08
4 In 0.6955 0.6955 0.3495  2 Si 2.78, 2 In 3.08
5 Si 0.0932 0.0932 0.1179  1 Si 2.34
6 Si 0.9069 0.9069 0.8832  1 Si 2.34
7 Dy 0.6210 0.6210 0.8319  5 Si 2.97-3.18, 4 In 3.25-3.29

* calculated volume: 156.1 Å³/f.u.
* SG: Cm, No. 8
* final energy: -4.46 eV/atom

=====

Below is crystalline Cs2PuAg2Se4 at its relaxed geometry, with properties calculated at the PBE level.

Lattice parameters (Å, degrees): 7.8536 7.8536 6.5658 90.00 90.00 130.70
Closest atoms and distances in Å follow each position.
Atoms (fractional coordinates):
1 Se 0.8636 0.6574 0.2392  1 Pu 2.66, 2 Ag 2.75
2 Se 0.6574 0.8636 0.7608  1 Pu 2.66, 2 Ag 2.75
3 Se 0.3426 0.1364 0.7608  1 Pu 2.66, 2 Ag 2.75
4 Se 0.1364 0.3426 0.2392  1 Pu 2.66, 2 Ag 2.75
5 Ag 0.0000 0.0000 0.5000  4 Se 2.75
6 Ag 0.5000 0.5000 0.0000  4 Se 2.75
7 Cs 0.0000 0.5000 0.7343  8 Se 3.84-3.95, 2 Ag 4.22
8 Cs 0.5000 0.0000 0.2657  8 Se 3.84-3.95, 2 Ag 4.22
9 Pu 0.0000 0.0000 0.0000  4 Se 2.66

* calculated volume: 307.0 Å³/f.u.
* SG: C222, No. 21
* final energy: -4.80 eV/atom

=====

Below is crystalline DyPaPt at its relaxed geometry, with properties calculated at the PBE level.

Lattice parameters (Å, degrees): 4.8588 4.8588 4.8588 60.00 60.00 60.00
Closest atoms and distances in Å follow each position.
Atoms (fractional coordinates):
1 Pa 0.7500 0.7500 0.7500  4 Pt 2.98
2 Dy 0.2500 0.2500 0.2500  4 Pt 2.98
3 Pt 0.0000 0.0000 0.0000  4 Dy 2.98, 4 Pa 2.98

* calculated volume: 81.1 Å³/f.u.
* SG: F-43m, No. 216
* energy of formation: -0.38 eV/atom
* energy relative to the lowest polymorph listed for this composition: 0 meV per atom
* final energy: -7.10 eV/atom

=====

Below is crystalline GdSbAsO at its relaxed geometry, with properties calculated at the PBE level.

Lattice parameters (Å, degrees): 4.7242 4.7242 7.5642 90.00 90.00 90.00
Closest atoms and distances in Å follow each position.
Atoms (fractional coordinates):
1 As 0.0000 0.5000 0.2945  1 Sb 2.76, 4 Gd 2.83
2 As 0.5000 0.0000 0.7055  1 Sb 2.76, 4 Gd 2.83
3 Gd 0.5000 0.5000 0.5000  4 As 2.83
4 Gd 0.0000 0.0000 0.5000  4 As 2.83
5 O 0.0000 0.0000 0.0000  4 Sb 2.42
6 O 0.5000 0.5000 0.0000  4 Sb 2.42
7 Sb 0.0000 0.5000 0.9301  4 O 2.42
8 Sb 0.5000 0.0000 0.0699  4 O 2.42

* calculated volume: 84.4 Å³/f.u.
* SG: P4/nmm, No. 129
* energy relative to the lowest polymorph listed for this composition: 731 meV per atom
* final energy: -5.26 eV/atom